{"formula": "LiV2O4", "functional": "SCAN", "state": "PBEsol geometry", "lattice_angstrom": [[5.759, -0.045, 0.037], [-2.839, 5.011, -0.037], [2.861, 1.659, 4.715]], "species": ["Li", "Li", "V", "V", "V", "V", "O", "O", "O", "O", "O", "O", "O", "O"], "fractional_positions": [[0.250, 0.125, 0.125], [0.750, 0.875, 0.875], [0.500, 0.000, 0.500], [0.000, 0.500, 0.500], [0.000, 0.500, 0.000], [0.500, 0.500, 0.500], [0.019, 0.740, 0.740], [0.481, 0.740, 0.279], [0.981, 0.260, 0.260], [0.519, 0.260, 0.721], [0.519, 0.260, 0.260], [0.019, 0.279, 0.740], [0.481, 0.740, 0.740], [0.981, 0.721, 0.260]], "relative_energy_mev_per_atom": 0, "magnetic_moment_mub_per_cell": 5.99, "sg": "Fd-3m, No. 227", "formation_energy_uncorrected_ev_per_fu": -18.39, "crystal_system": "cubic"}



{"formula": "Li5V12O32", "functional": "SCAN", "state": "PBEsol geometry", "lattice_angstrom": [[7.134, 0.000, 0.000], [-3.567, 6.708, -0.006], [0.000, -3.709, 11.324]], "species": ["Li", "Li", "Li", "Li", "Li", "V", "V", "V", "V", "V", "V", "V", "V", "V", "V", "V", "V", "O", "O", "O", "O", "O", "O", "O", "O", "O", "O", "O", "O", "O", "O", "O", "O", "O", "O", "O", "O", "O", "O", "O", "O", "O", "O", "O", "O", "O", "O", "O", "O"], "fractional_positions": [[0.875, 0.751, 0.683], [0.373, 0.746, 0.683], [0.613, 0.753, 0.318], [0.140, 0.753, 0.318], [0.909, 0.818, 0.050], [0.162, 0.325, 0.806], [0.659, 0.319, 0.803], [0.453, 0.407, 0.463], [0.954, 0.407, 0.463], [0.724, 0.448, 0.081], [0.228, 0.456, 0.081], [0.272, 0.044, 0.918], [0.772, 0.044, 0.918], [0.047, 0.095, 0.538], [0.547, 0.095, 0.537], [0.340, 0.181, 0.197], [0.841, 0.181, 0.197], [0.879, 0.259, 0.826], [0.381, 0.259, 0.826], [0.763, 0.527, 0.954], [0.264, 0.529, 0.953], [0.159, 0.318, 0.459], [0.659, 0.317, 0.459], [0.234, 0.469, 0.721], [0.734, 0.469, 0.721], [0.477, 0.450, 0.326], [0.973, 0.450, 0.326], [0.068, 0.635, 0.562], [0.568, 0.635, 0.562], [0.434, 0.370, 0.072], [0.935, 0.370, 0.072], [0.669, 0.829, 0.809], [0.160, 0.829, 0.809], [0.838, 0.676, 0.182], [0.335, 0.671, 0.192], [0.562, 0.124, 0.931], [0.065, 0.129, 0.928], [0.934, 0.867, 0.438], [0.433, 0.866, 0.437], [0.026, 0.052, 0.674], [0.525, 0.051, 0.673], [0.265, 0.032, 0.280], [0.767, 0.032, 0.280], [0.343, 0.185, 0.541], [0.842, 0.185, 0.541], [0.747, 0.969, 0.047], [0.221, 0.969, 0.047], [0.121, 0.242, 0.177], [0.618, 0.235, 0.172]], "magnetic_moment_mub_per_cell": 1.03, "sg": "Cm, No. 8", "formation_energy_uncorrected_ev_per_fu": -124.28, "crystal_system": "monoclinic"}



{"formula": "Li17V16O32", "functional": "SCAN", "state": "PBEsol geometry", "lattice_angstrom": [[-0.717, 7.635, 2.636], [-5.638, -2.456, 5.286], [8.965, -3.961, 1.567]], "species": ["Li", "Li", "Li", "Li", "Li", "Li", "Li", "Li", "Li", "Li", "Li", "Li", "Li", "Li", "Li", "Li", "Li", "V", "V", "V", "V", "V", "V", "V", "V", "V", "V", "V", "V", "V", "V", "V", "V", "O", "O", "O", "O", "O", "O", "O", "O", "O", "O", "O", "O", "O", "O", "O", "O", "O", "O", "O", "O", "O", "O", "O", "O", "O", "O", "O", "O", "O", "O", "O", "O"], "fractional_positions": [[0.250, 0.759, 0.006], [0.759, 0.250, 0.006], [0.001, 0.506, 0.003], [0.506, 0.001, 0.003], [0.873, 0.627, 0.752], [0.418, 0.106, 0.777], [0.106, 0.418, 0.777], [0.627, 0.873, 0.752], [0.186, 0.186, 0.644], [0.499, 0.499, 0.503], [0.952, 0.952, 0.466], [0.264, 0.264, 0.479], [0.748, 0.748, 0.498], [0.376, 0.120, 0.252], [0.616, 0.874, 0.248], [0.120, 0.376, 0.252], [0.874, 0.616, 0.248], [0.513, 0.513, 0.976], [0.737, 0.737, 0.993], [0.003, 0.003, 0.999], [0.272, 0.272, 0.025], [0.387, 0.620, 0.759], [0.876, 0.122, 0.751], [0.122, 0.876, 0.751], [0.620, 0.387, 0.759], [0.252, 0.761, 0.487], [0.470, 0.983, 0.488], [0.761, 0.252, 0.487], [0.983, 0.470, 0.488], [0.873, 0.145, 0.273], [0.589, 0.383, 0.235], [0.383, 0.589, 0.235], [0.145, 0.873, 0.273], [0.250, 0.010, 0.999], [0.762, 0.498, 0.001], [0.010, 0.250, 0.999], [0.498, 0.762, 0.001], [0.370, 0.370, 0.739], [0.876, 0.876, 0.751], [0.626, 0.626, 0.748], [0.130, 0.130, 0.773], [0.364, 0.860, 0.739], [0.625, 0.126, 0.740], [0.860, 0.364, 0.739], [0.126, 0.625, 0.740], [0.739, 0.009, 0.502], [0.240, 0.513, 0.507], [0.009, 0.739, 0.502], [0.513, 0.240, 0.507], [0.011, 0.243, 0.511], [0.493, 0.744, 0.487], [0.243, 0.011, 0.511], [0.744, 0.493, 0.487], [0.136, 0.623, 0.248], [0.371, 0.863, 0.251], [0.623, 0.136, 0.248], [0.863, 0.371, 0.251], [0.876, 0.876, 0.240], [0.368, 0.368, 0.263], [0.619, 0.619, 0.234], [0.111, 0.111, 0.245], [0.265, 0.500, 0.001], [0.762, 0.998, 0.011], [0.998, 0.762, 0.011], [0.500, 0.265, 0.001]], "magnetic_moment_mub_per_cell": 9.07, "sg": "Cm, No. 8", "formation_energy_uncorrected_ev_per_fu": -161.69, "crystal_system": "monoclinic"}



{"formula": "LiVO2", "functional": "SCAN", "state": "PBEsol geometry", "lattice_angstrom": [[-1.796, -0.051, 2.099], [-1.257, -2.363, 0.686], [2.675, -1.859, 4.061]], "species": ["V", "O", "O", "Li"], "fractional_positions": [[0.500, 0.500, 0.500], [0.753, 0.753, 0.741], [0.247, 0.247, 0.259], [0.000, 0.000, 0.000]], "magnetic_moment_mub_per_cell": 1.99, "sg": "R-3m, No. 166", "formation_energy_uncorrected_ev_per_fu": -10.01, "crystal_system": "trigonal"}



{"formula": "Li11V16O32", "functional": "SCAN", "state": "PBEsol geometry", "lattice_angstrom": [[-7.770, 1.374, 1.883], [-1.429, -7.990, -0.453], [6.449, 2.469, 7.187]], "species": ["Li", "Li", "Li", "Li", "Li", "Li", "Li", "Li", "Li", "Li", "Li", "V", "V", "V", "V", "V", "V", "V", "V", "V", "V", "V", "V", "V", "V", "V", "V", "O", "O", "O", "O", "O", "O", "O", "O", "O", "O", "O", "O", "O", "O", "O", "O", "O", "O", "O", "O", "O", "O", "O", "O", "O", "O", "O", "O", "O", "O", "O", "O"], "fractional_positions": [[0.602, 0.904, 0.277], [0.418, 0.920, 0.611], [0.669, 0.651, 0.099], [0.789, 0.818, 0.878], [0.042, 0.565, 0.381], [0.879, 0.585, 0.719], [0.116, 0.314, 0.206], [0.758, 0.256, 0.504], [0.364, 0.110, 0.246], [0.140, 0.357, 0.752], [0.251, 0.242, 0.979], [0.245, 0.745, 0.988], [0.000, 0.992, 0.491], [0.105, 0.870, 0.246], [0.766, 0.771, 0.514], [0.371, 0.614, 0.246], [0.130, 0.867, 0.755], [0.013, 0.519, 0.009], [0.368, 0.628, 0.750], [0.738, 0.245, 0.985], [0.490, 0.498, 0.486], [0.620, 0.382, 0.251], [0.270, 0.267, 0.514], [0.879, 0.117, 0.255], [0.617, 0.357, 0.744], [0.521, 0.021, 0.014], [0.859, 0.120, 0.749], [0.865, 0.874, 0.252], [0.005, 0.749, 0.999], [0.762, 0.007, 0.508], [0.344, 0.850, 0.228], [0.881, 0.874, 0.750], [0.247, 0.506, 0.002], [0.006, 0.768, 0.516], [0.126, 0.624, 0.245], [0.379, 0.878, 0.772], [0.266, 0.993, 0.996], [0.509, 0.736, 0.486], [0.623, 0.634, 0.267], [0.736, 0.511, 0.492], [0.370, 0.369, 0.243], [0.490, 0.766, 0.997], [0.126, 0.621, 0.749], [0.258, 0.500, 0.503], [0.855, 0.350, 0.232], [0.602, 0.596, 0.728], [0.511, 0.258, 0.011], [0.503, 0.261, 0.501], [0.631, 0.135, 0.255], [0.381, 0.385, 0.749], [0.758, 0.022, 0.016], [0.760, 0.480, 0.981], [0.012, 0.236, 0.497], [0.127, 0.123, 0.267], [0.872, 0.369, 0.756], [0.618, 0.120, 0.747], [0.234, 0.009, 0.485], [0.986, 0.261, 0.986], [0.098, 0.102, 0.737]], "magnetic_moment_mub_per_cell": 27.00, "sg": "P1, No. 1", "formation_energy_uncorrected_ev_per_fu": -151.12, "crystal_system": "triclinic"}



{"formula": "Li4V3O8", "functional": "SCAN", "state": "PBEsol geometry", "lattice_angstrom": [[5.567, 0.000, 0.000], [2.783, 4.821, 0.000], [2.783, 1.607, 5.133]], "species": ["Li", "Li", "Li", "Li", "V", "V", "V", "O", "O", "O", "O", "O", "O", "O", "O"], "fractional_positions": [[0.000, 0.000, 0.000], [0.642, 0.642, 0.074], [0.500, 0.500, 0.500], [0.358, 0.358, 0.926], [0.000, 0.000, 0.500], [0.000, 0.500, 0.500], [0.500, 0.000, 0.500], [0.762, 0.762, 0.714], [0.257, 0.257, 0.712], [0.257, 0.775, 0.712], [0.775, 0.257, 0.712], [0.238, 0.238, 0.286], [0.743, 0.743, 0.288], [0.743, 0.225, 0.288], [0.225, 0.743, 0.288]], "relative_energy_mev_per_atom": 14, "magnetic_moment_mub_per_cell": 3.01, "sg": "R-3m, No. 166", "formation_energy_uncorrected_ev_per_fu": -37.43, "crystal_system": "trigonal"}



{"formula": "LiVO2", "functional": "SCAN", "state": "PBEsol geometry", "lattice_angstrom": [[3.951, 0.000, 0.000], [0.000, 3.951, 0.000], [-1.976, -1.976, 4.035]], "species": ["Li", "Li", "O", "O", "O", "O", "V", "V"], "fractional_positions": [[0.500, 0.500, 0.000], [0.750, 0.250, 0.500], [0.999, 0.499, 0.998], [0.251, 0.251, 0.502], [0.501, 0.001, 0.002], [0.749, 0.749, 0.498], [0.250, 0.750, 0.500], [0.000, 0.000, 0.000]], "magnetic_moment_mub_per_cell": 4.00, "sg": "I4_1/amd, No. 141", "formation_energy_uncorrected_ev_per_fu": -9.93, "crystal_system": "tetragonal"}



{"formula": "LiV18O44", "functional": "SCAN", "state": "PBEsol geometry", "lattice_angstrom": [[3.590, 0.000, 0.000], [0.000, 10.100, -0.202], [0.000, -5.312, 20.889]], "species": ["Li", "V", "V", "V", "V", "V", "V", "V", "V", "V", "V", "V", "V", "V", "V", "V", "V", "V", "V", "O", "O", "O", "O", "O", "O", "O", "O", "O", "O", "O", "O", "O", "O", "O", "O", "O", "O", "O", "O", "O", "O", "O", "O", "O", "O", "O", "O", "O", "O", "O", "O", "O", "O", "O", "O", "O", "O", "O", "O", "O", "O", "O", "O"], "fractional_positions": [[0.000, 0.525, 0.520], [0.500, 0.407, 0.027], [0.000, 0.863, 0.089], [0.500, 0.094, 0.062], [0.500, 0.836, 0.283], [0.000, 0.058, 0.252], [0.500, 0.515, 0.311], [0.000, 0.330, 0.364], [0.500, 0.783, 0.428], [0.000, 0.021, 0.406], [0.500, 0.982, 0.594], [0.000, 0.219, 0.572], [0.500, 0.671, 0.636], [0.000, 0.486, 0.689], [0.500, 0.943, 0.747], [0.000, 0.165, 0.717], [0.000, 0.903, 0.938], [0.500, 0.135, 0.911], [0.000, 0.591, 0.973], [0.000, 0.423, 0.004], [0.500, 0.218, 0.011], [0.500, 0.908, 0.079], [0.000, 0.709, 0.094], [0.000, 0.046, 0.046], [0.500, 0.455, 0.102], [0.000, 0.965, 0.172], [0.500, 0.192, 0.132], [0.500, 0.739, 0.212], [0.500, 0.473, 0.236], [0.000, 0.882, 0.303], [0.000, 0.217, 0.252], [0.500, 0.706, 0.333], [0.500, 0.018, 0.267], [0.000, 0.500, 0.334], [0.500, 0.978, 0.394], [0.500, 0.345, 0.342], [0.000, 0.146, 0.358], [0.000, 0.835, 0.424], [0.500, 0.631, 0.438], [0.000, 0.391, 0.440], [0.500, 0.884, 0.519], [0.000, 0.120, 0.481], [0.500, 0.607, 0.558], [0.000, 0.373, 0.563], [0.500, 0.169, 0.576], [0.500, 0.855, 0.640], [0.000, 0.656, 0.656], [0.000, 0.027, 0.606], [0.500, 0.503, 0.666], [0.000, 0.982, 0.732], [0.000, 0.296, 0.667], [0.500, 0.782, 0.746], [0.500, 0.118, 0.697], [0.000, 0.528, 0.764], [0.000, 0.262, 0.788], [0.000, 0.805, 0.867], [0.500, 0.032, 0.827], [0.000, 0.542, 0.897], [0.500, 0.952, 0.953], [0.500, 0.289, 0.905], [0.000, 0.089, 0.920], [0.000, 0.780, 0.989], [0.500, 0.574, 0.995]], "magnetic_moment_mub_per_cell": 2.05, "sg": "Pm, No. 6", "formation_energy_uncorrected_ev_per_fu": -156.97, "crystal_system": "monoclinic"}